Entry 1:
Here is crystalline MgTi2Hg at its relaxed geometry from Alexandria. Energies are from PBE-GGA.

Geometry as POSCAR:
```
MgTi2Hg
1.0
-1.473 -4.484 0.234
-2.810 -1.382 3.539
-4.529 -1.046 -0.850
Hg Ti Mg
1 2 1
direct
0.500 0.500 0.500
0.750 0.750 0.750
0.250 0.250 0.250
0.000 0.000 0.000
```

Output
Formation enthalpy at 0 K in eV per atom: 0.1269
Total moment in μB/cell: 0.00
Offset from the most stable computed form in eV per atom: 0.129

=====

Entry 2:
Here is crystalline RbCaMg2Rh at its relaxed geometry from Alexandria. Energies are from PBE-GGA.

Geometry as POSCAR:
```
RbCaMg2Rh
1.0
5.285 0.000 0.000
0.000 5.285 0.000
0.000 0.000 5.409
Mg Rb Rh Ca
2 1 1 1
direct
0.500 0.000 0.000
0.000 0.500 0.000
0.500 0.500 0.500
0.000 0.000 0.000
0.000 0.000 0.500
```

Output
Formation enthalpy at 0 K in eV per atom: -0.1112
Total moment in μB/cell: 0.00

=====

Entry 3:
Here is crystalline Ti2Be2Pd7 at its relaxed geometry from Alexandria. Energies are from PBE-GGA.

Geometry as POSCAR:
```
Ti2Be2Pd7
1.0
-4.009 -3.416 -1.296
0.083 -1.176 5.512
-3.294 4.131 1.965
Pd Ti Be
7 2 2
direct
0.752 0.546 0.977
0.248 0.454 0.023
0.752 0.491 0.491
0.248 0.509 0.509
0.000 0.000 0.000
0.248 0.023 0.454
0.752 0.977 0.546
0.500 0.191 0.809
0.500 0.809 0.191
0.070 0.737 0.737
0.930 0.263 0.263
```

Output
Formation enthalpy at 0 K in eV per atom: -0.3084
Total moment in μB/cell: 1.10

=====

Entry 4:
Here is crystalline RbNaRuI2 at its relaxed geometry from Alexandria. Energies are from PBE-GGA.

Geometry as POSCAR:
```
RbNaRuI2
1.0
-5.736 -1.432 -0.461
1.593 -5.666 -2.222
0.091 -2.143 5.529
I Ru Rb Na
2 1 1 1
direct
0.500 0.000 0.000
0.000 0.000 0.500
0.500 0.500 0.500
0.000 0.500 0.000
0.000 0.000 0.000
```

Output
Total moment in μB/cell: 4.00
Energy relative to the elements, uncorrected in meV/atom: 460

=====

Entry 5:
Here is crystalline TbHgGe at its relaxed geometry from Alexandria. Energies are from PBE-GGA.

Geometry as POSCAR:
```
TbHgGe
1.0
3.577 0.000 0.000
0.000 3.577 0.000
-1.789 -1.789 5.503
Hg Ge Tb
1 1 1
direct
0.941 0.941 0.883
0.289 0.289 0.578
0.620 0.620 0.240
```

Output
Formation enthalpy at 0 K in eV per atom: -0.2881
Total moment in μB/cell: 0.00

=====

Entry 6:
Here is crystalline K2Be2InO4 at its relaxed geometry from Alexandria. Energies are from PBE-GGA.

Geometry as POSCAR:
```
K2Be2InO4
1.0
-2.291 -1.636 1.335
4.802 -4.687 -1.140
0.714 3.664 5.718
O K In Be
4 2 1 2
direct
0.219 0.439 0.114
0.547 0.095 0.800
0.453 0.905 0.200
0.781 0.561 0.886
0.126 0.252 0.555
0.874 0.748 0.445
0.000 0.000 0.000
0.680 0.360 0.974
0.320 0.640 0.026
```

Output
Total moment in μB/cell: 0.00
Energy relative to the elements, uncorrected in meV/atom: -1714

=====

Entry 7:
Here is crystalline Cs2SmGeO4 at its relaxed geometry from Alexandria. Energies are from PBE-GGA.

Geometry as POSCAR:
```
Cs2SmGeO4
1.0
-2.409 -5.275 1.041
2.812 -3.420 5.854
-9.803 2.722 7.781
O Cs Sm Ge
8 4 2 2
direct
0.584 0.158 0.073
0.257 0.158 0.927
0.407 0.658 0.427
0.935 0.658 0.573
0.166 0.342 0.427
0.493 0.342 0.573
0.343 0.842 0.073
0.815 0.842 0.927
0.931 0.500 0.138
0.181 0.000 0.638
0.819 0.000 0.362
0.569 0.500 0.862
0.000 0.000 0.000
0.750 0.500 0.500
0.250 0.500 0.500
0.500 0.000 0.000
```

Output
Total moment in μB/cell: 0.00
Energy relative to the elements, uncorrected in meV/atom: -1782

=====

Entry 8:
Here is crystalline Zn2CrAg at its relaxed geometry from Alexandria. Energies are from PBE-GGA.

Geometry as POSCAR:
```
Zn2CrAg
1.0
-5.119 -1.045 -0.214
-4.262 -1.643 2.545
-2.672 3.463 1.580
Cr Ag Zn
1 1 2
direct
0.257 0.257 0.191
0.495 0.495 0.558
0.005 0.005 0.053
0.743 0.743 0.697
```

Output
Formation enthalpy at 0 K in eV per atom: 0.1903
Total moment in μB/cell: 3.57

=====

Entry 9:
Here is crystalline Be2AgAs at its relaxed geometry from Alexandria. Energies are from PBE-GGA.

Geometry as POSCAR:
```
Be2AgAs
1.0
4.482 0.028 0.011
3.628 2.633 0.011
2.249 0.738 5.073
Be Ag As
2 1 1
direct
0.975 0.975 0.928
0.525 0.525 0.572
0.750 0.750 0.750
0.250 0.250 0.250
```

Output
Formation enthalpy at 0 K in eV per atom: 0.3409
Total moment in μB/cell: 0.00

=====

Entry 10:
Here is crystalline ThScZn4 at its relaxed geometry from Alexandria. Energies are from PBE-GGA.

Geometry as POSCAR:
```
ThScZn4
1.0
3.879 0.000 -1.198
-0.370 3.861 -1.198
0.370 0.407 8.078
Zn Sc Th
4 1 1
direct
0.835 0.335 0.671
0.422 0.422 0.843
0.578 0.578 0.157
0.665 0.165 0.329
0.000 0.000 0.000
0.250 0.750 0.500
```

Output
Formation enthalpy at 0 K in eV per atom: -0.1768
Total moment in μB/cell: 0.00
Offset from the most stable computed form in eV per atom: 0.089

=====

Entry 11:
Here is crystalline AcPr2Y5Er at its relaxed geometry from Alexandria. Energies are from PBE-GGA.

Geometry as POSCAR:
```
AcPr2Y5Er
1.0
8.879 0.000 0.000
0.000 8.879 0.000
-4.440 -4.440 7.888
Pr Ac Er Y
4 2 2 10
direct
0.383 0.883 0.000
0.883 0.617 0.000
0.117 0.383 0.000
0.617 0.117 0.000
0.250 0.250 0.500
0.750 0.750 0.500
0.250 0.750 0.500
0.750 0.250 0.500
0.073 0.573 0.732
0.500 0.500 0.000
0.659 0.159 0.732
0.427 0.341 0.268
0.573 0.659 0.732
0.159 0.073 0.732
0.000 0.000 0.000
0.841 0.927 0.268
0.927 0.427 0.268
0.341 0.841 0.268
```

Output
Formation enthalpy at 0 K in eV per atom: 0.2450
Total moment in μB/cell: 0.00

=====

Entry 12:
Here is crystalline Sm5Pd3 at its relaxed geometry from Alexandria. Energies are from PBE-GGA.

Geometry as POSCAR:
```
Sm5Pd3
1.0
-1.782 -5.561 -2.862
6.782 -5.808 7.064
-8.597 -1.049 7.391
Pd Sm
12 20
direct
0.250 0.155 0.845
0.250 0.345 0.345
0.111 0.500 0.000
0.750 0.345 0.655
0.889 0.000 0.500
0.750 0.655 0.345
0.750 0.155 0.155
0.389 0.000 0.500
0.750 0.845 0.845
0.250 0.845 0.155
0.250 0.655 0.655
0.611 0.500 0.000
0.871 0.410 0.209
0.500 0.500 0.500
0.129 0.910 0.709
0.871 0.291 0.910
0.500 0.000 0.000
0.629 0.090 0.709
0.871 0.590 0.791
0.629 0.910 0.291
0.371 0.590 0.209
0.129 0.791 0.410
0.871 0.709 0.090
0.371 0.410 0.791
0.000 0.500 0.500
0.629 0.209 0.410
0.129 0.090 0.291
0.129 0.209 0.590
0.371 0.291 0.090
0.371 0.709 0.910
0.629 0.791 0.590
0.000 0.000 0.000
```

Output
Formation enthalpy at 0 K in eV per atom: -0.6208
Total moment in μB/cell: 0.00

=====

Entry 13:
Here is crystalline MnNb3C at its relaxed geometry from Alexandria. Energies are from PBE-GGA.

Geometry as POSCAR:
```
MnNb3C
1.0
4.526 0.000 0.000
0.000 4.526 0.000
0.000 0.000 4.526
Nb C Mn
3 1 1
direct
0.000 0.500 0.000
0.500 0.000 0.000
0.000 0.000 0.500
0.500 0.500 0.500
0.000 0.000 0.000
```

Output
Formation enthalpy at 0 K in eV per atom: 1.8144
Total moment in μB/cell: 0.00
Offset from the most stable computed form in eV per atom: 1.655

=====

Entry 14:
Here is crystalline LaTl2BiRh at its relaxed geometry from Alexandria. Energies are from PBE-GGA.

Geometry as POSCAR:
```
LaTl2BiRh
1.0
-4.844 1.452 -1.510
-2.056 -4.026 2.723
-0.413 3.159 4.360
Tl Rh Bi La
2 1 1 1
direct
0.500 0.000 0.000
0.000 0.500 0.000
0.000 0.000 0.000
0.500 0.500 0.500
0.000 0.000 0.500
```

Output
Formation enthalpy at 0 K in eV per atom: -0.3918
Total moment in μB/cell: 0.00

=====

Entry 15:
Here is crystalline NaCeDy2 at its relaxed geometry from Alexandria. Energies are from PBE-GGA.

Geometry as POSCAR:
```
NaCeDy2
1.0
3.461 0.000 0.000
1.730 2.997 0.000
1.730 0.999 12.474
Na Ce Dy
1 1 2
direct
0.000 0.000 0.000
0.500 0.500 0.500
0.093 0.093 0.721
0.907 0.907 0.279
```

Output
Formation enthalpy at 0 K in eV per atom: 0.1830
Total moment in μB/cell: 0.32
Offset from the most stable computed form in eV per atom: 0.030

=====

Entry 16:
Here is crystalline PaNbSe4 at its relaxed geometry from Alexandria. Energies are from PBE-GGA.

Geometry as POSCAR:
```
PaNbSe4
1.0
-4.051 -1.684 2.429
2.655 -6.308 0.053
5.824 2.504 6.271
Se Nb Pa
8 2 2
direct
0.902 0.267 0.804
0.543 0.395 0.086
0.728 0.545 0.456
0.457 0.895 0.914
0.672 0.092 0.344
0.272 0.045 0.544
0.328 0.592 0.656
0.098 0.767 0.196
0.600 0.750 0.200
0.400 0.250 0.800
0.835 0.884 0.670
0.165 0.384 0.330
```

Output
Total moment in μB/cell: 2.50
Energy relative to the elements, uncorrected in meV/atom: -857
Offset from the most stable computed form in eV per atom: 0.186

=====

Entry 17:
Here is crystalline CsB3C at its relaxed geometry from Alexandria. Energies are from PBE-GGA.

Geometry as POSCAR:
```
CsB3C
1.0
-4.160 -2.980 -1.041
0.963 -2.839 4.276
-3.006 3.215 2.811
C B Cs
1 3 1
direct
0.500 0.500 0.500
0.000 0.000 0.500
0.000 0.500 0.000
0.500 0.000 0.000
0.000 0.000 0.000
```

Output
Formation enthalpy at 0 K in eV per atom: 4.6057
Total moment in μB/cell: 1.08
Offset from the most stable computed form in eV per atom: 1.858

=====

Entry 18:
Here is crystalline SrCeSiAg at its relaxed geometry from Alexandria. Energies are from PBE-GGA.

Geometry as POSCAR:
```
SrCeSiAg
1.0
5.313 0.000 0.000
2.657 4.601 0.000
2.657 1.534 4.338
Si Ce Ag Sr
1 1 1 1
direct
0.250 0.250 0.250
0.500 0.500 0.500
0.750 0.750 0.750
0.000 0.000 0.000
```

Output
Total moment in μB/cell: 1.13
Energy relative to the elements, uncorrected in meV/atom: -250

=====

Entry 19:
Here is crystalline Pr2ZnSb at its relaxed geometry from Alexandria. Energies are from PBE-GGA.

Geometry as POSCAR:
```
Pr2ZnSb
1.0
5.397 0.000 0.000
2.699 4.674 0.000
2.699 1.558 4.407
Sb Zn Pr
1 1 2
direct
0.000 0.000 0.000
0.500 0.500 0.500
0.250 0.250 0.250
0.750 0.750 0.750
```

Output
Total moment in μB/cell: 0.00
Energy relative to the elements, uncorrected in meV/atom: -584
Offset from the most stable computed form in eV per atom: 0.128

=====

Entry 20:
Here is crystalline KZnCd at its relaxed geometry from Alexandria. Energies are from PBE-GGA.

Geometry as POSCAR:
```
KZnCd
1.0
5.317 0.000 -0.060
0.000 4.604 0.000
-0.551 0.000 7.661
Zn Cd K
2 2 2
direct
0.130 0.250 0.022
0.870 0.750 0.978
0.642 0.250 0.125
0.358 0.750 0.875
0.765 0.250 0.641
0.235 0.750 0.359
```

Output
Formation enthalpy at 0 K in eV per atom: -0.0202
Total moment in μB/cell: 0.00
Offset from the most stable computed form in eV per atom: 0.000

=====

Entry 21:
Here is crystalline Pd3PtSe8 at its relaxed geometry from Alexandria. Energies are from PBE-GGA.

Geometry as POSCAR:
```
Pd3PtSe8
1.0
7.496 0.000 0.000
-3.748 5.316 -3.726
0.000 -0.125 7.500
Se Pd Pt
8 3 1
direct
0.741 0.981 0.216
0.259 0.019 0.784
0.240 0.479 0.216
0.240 0.981 0.216
0.760 0.521 0.784
0.740 0.480 0.216
0.260 0.520 0.784
0.760 0.019 0.784
0.500 0.000 0.000
0.500 0.500 0.000
0.000 0.500 0.000
0.000 0.000 0.000
```

Output
Total moment in μB/cell: 0.00
Energy relative to the elements, uncorrected in meV/atom: -283

=====

Entry 22:
Here is crystalline CaScCdSn at its relaxed geometry from Alexandria. Energies are from PBE-GGA.

Geometry as POSCAR:
```
CaScCdSn
1.0
5.207 0.000 0.000
2.604 4.510 0.000
2.604 1.503 4.252
Cd Ca Sc Sn
1 1 1 1
direct
0.250 0.250 0.250
0.500 0.500 0.500
0.000 0.000 0.000
0.750 0.750 0.750
```

Output
Formation enthalpy at 0 K in eV per atom: -0.4258
Total moment in μB/cell: 0.00

=====

Entry 23:
Here is crystalline Nd2Y6Er3In at its relaxed geometry from Alexandria. Energies are from PBE-GGA.

Geometry as POSCAR:
```
Nd2Y6Er3In
1.0
6.116 -0.002 0.004
-3.058 5.296 0.004
-1.029 -1.781 11.553
Er Y Nd In
3 6 2 1
direct
0.166 0.834 0.500
0.834 0.166 0.500
0.500 0.500 0.500
0.590 0.917 0.750
0.756 0.756 0.251
0.083 0.410 0.250
0.244 0.244 0.749
0.410 0.083 0.250
0.917 0.590 0.750
0.334 0.666 0.000
0.666 0.334 0.000
0.000 0.000 0.000
```

Output
Formation enthalpy at 0 K in eV per atom: -0.0528
Total moment in μB/cell: 0.00

=====

Entry 24:
Here is crystalline NiB2Ir at its relaxed geometry from Alexandria. Energies are from PBE-GGA.

Geometry as POSCAR:
```
NiB2Ir
1.0
3.230 0.000 0.000
1.615 2.798 0.000
1.615 0.933 4.439
Ir Ni B
1 1 2
direct
0.676 0.676 0.973
0.489 0.489 0.532
0.239 0.239 0.283
0.096 0.096 0.711
```

Output
Formation enthalpy at 0 K in eV per atom: -0.0182
Total moment in μB/cell: 0.00
Offset from the most stable computed form in eV per atom: 0.000

=====

Entry 25:
Here is crystalline Re2Au at its relaxed geometry from Alexandria. Energies are from PBE-GGA.

Geometry as POSCAR:
```
Re2Au
1.0
1.904 -2.364 11.707
-1.034 -5.178 10.880
1.030 2.394 -11.810
Re Au
4 2
direct
0.414 0.414 0.000
0.586 0.586 0.000
0.336 0.836 0.500
0.164 0.664 0.500
0.750 0.250 0.500
0.000 0.000 0.000
```

Output
Formation enthalpy at 0 K in eV per atom: 0.7065
Total moment in μB/cell: 0.00
Offset from the most stable computed form in eV per atom: 0.487